# 1
10
Lattice="7.412 -3.376 0.000 7.412 3.376 0.000 -1.614 0.000 6.177" Properties=species:S:1:pos:R:3 comment="Rb2UHgS6 (PBE, relaxed)" raw_formation_energy_ev_per_atom=-0.70 space_group=C2/m n_ef_per_ev_cell=6.208 crystal_system=monoclinic pbc="T T T"
Rb 3.009 0.000 1.317
Rb 10.201 0.000 4.860
U 7.412 0.000 0.000
Hg -0.807 0.000 3.088
S 5.981 1.770 1.268
S 7.230 1.770 4.909
S 3.897 0.000 4.631
S 9.313 0.000 1.546
S 5.981 -1.770 1.268
S 7.230 -1.770 4.909

=====

# 2
14
Lattice="4.805 0.000 0.000 0.000 4.805 0.000 0.000 0.000 16.656" Properties=species:S:1:pos:R:3 comment="Rb2MoS4 (PBE, relaxed)" raw_formation_energy_ev_per_atom=-0.64 space_group=I4/mmm n_ef_per_ev_cell=16.009 crystal_system=tetragonal e_above_lowest_polymorph_mev_per_atom=323 pbc="T T T"
Rb 0.000 0.000 2.487
Rb 0.000 0.000 14.169
Rb 2.403 2.403 5.841
Rb 2.403 2.403 10.815
Mo 0.000 0.000 8.328
Mo 2.403 2.403 0.000
S 0.000 0.000 5.947
S 0.000 0.000 10.709
S 0.000 2.403 0.000
S 0.000 2.403 8.328
S 2.403 0.000 0.000
S 2.403 0.000 8.328
S 2.403 2.403 2.381
S 2.403 2.403 14.275

=====

# 3
12
Lattice="3.771 0.000 0.000 0.000 3.771 0.000 0.000 0.000 30.235" Properties=species:S:1:pos:R:3 comment="Sr2Fe (PBE, relaxed)" delta_e_f_ev_per_atom=0.581 space_group=I4_1/amd n_ef_per_ev_cell=25.182 crystal_system=tetragonal pbc="T T T"
Sr 0.000 0.943 9.464
Sr 0.000 0.943 13.212
Sr 0.000 2.828 17.023
Sr 0.000 2.828 20.771
Sr 1.886 0.943 1.906
Sr 1.886 0.943 5.653
Sr 1.886 2.828 24.582
Sr 1.886 2.828 28.330
Fe 0.000 0.943 26.456
Fe 0.000 2.828 3.779
Fe 1.886 0.943 18.897
Fe 1.886 2.828 11.338

=====

# 4
4
Lattice="4.373 0.000 0.000 0.000 4.373 0.000 0.000 0.000 4.507" Properties=species:S:1:pos:R:3 comment="Li2LaTa (PBE, relaxed)" delta_e_f_ev_per_atom=0.652 space_group=P4/mmm n_ef_per_ev_cell=5.687 crystal_system=tetragonal e_above_lowest_polymorph_mev_per_atom=310 pbc="T T T"
Li 0.000 2.186 0.000
Li 2.186 0.000 0.000
La 0.000 0.000 2.253
Ta 2.186 2.186 2.253

=====

# 5
16
Lattice="6.909 0.000 0.000 0.000 6.909 0.000 0.000 0.000 6.909" Properties=species:S:1:pos:R:3 comment="LiThMnIn (PBE, relaxed)" delta_e_f_ev_per_atom=0.005 space_group=F-43m n_ef_per_ev_cell=21.258 crystal_system=cubic pbc="T T T"
Li 0.000 0.000 0.000
Li 0.000 3.455 3.455
Li 3.455 0.000 3.455
Li 3.455 3.455 0.000
Th 1.727 1.727 1.727
Th 1.727 5.182 5.182
Th 5.182 1.727 5.182
Th 5.182 5.182 1.727
Mn 0.000 0.000 3.455
Mn 0.000 3.455 0.000
Mn 3.455 0.000 0.000
Mn 3.455 3.455 3.455
In 1.727 1.727 5.182
In 1.727 5.182 1.727
In 5.182 1.727 1.727
In 5.182 5.182 5.182

=====

# 6
12
Lattice="4.122 0.000 0.000 -2.061 3.570 0.000 0.000 0.000 15.838" Properties=species:S:1:pos:R:3 comment="EuSi2Tc (PBE, relaxed)" raw_formation_energy_ev_per_atom=-0.42 space_group=R-3m n_ef_per_ev_cell=26.263 crystal_system=trigonal e_above_lowest_polymorph_mev_per_atom=0 pbc="T T T"
Eu 0.000 0.000 0.000
Eu 0.000 2.380 10.559
Eu 2.061 1.190 5.279
Si 0.000 0.000 3.294
Si 0.000 0.000 12.544
Si 0.000 2.380 7.265
Si 0.000 2.380 13.853
Si 2.061 1.190 1.986
Si 2.061 1.190 8.573
Tc 0.000 0.000 7.919
Tc 0.000 2.380 2.640
Tc 2.061 1.190 13.198

=====

# 7
12
Lattice="3.450 -5.961 0.000 3.450 5.961 0.000 -2.302 0.000 7.646" Properties=species:S:1:pos:R:3 comment="Nd6Co2CBr3 (PBE, relaxed)" raw_formation_energy_ev_per_atom=-0.73 space_group=C2/m n_ef_per_ev_cell=11.220 crystal_system=monoclinic pbc="T T T"
Nd 1.088 1.898 1.425
Nd -0.095 0.000 6.222
Nd 1.088 -1.898 1.425
Nd 3.509 1.898 6.220
Nd 4.692 0.000 1.423
Nd 3.509 -1.898 6.220
Co 3.450 1.993 0.000
Co 3.450 -1.993 0.000
C 0.000 0.000 0.000
Br 2.299 3.991 3.823
Br 2.299 0.000 3.823
Br 2.299 -3.991 3.823

=====

# 8
24
Lattice="7.210 -8.362 0.000 7.210 8.362 0.000 0.000 0.000 2.789" Properties=species:S:1:pos:R:3 comment="V11Ir9Rh4 (PBE, relaxed)" delta_e_f_ev_per_atom=-0.412 space_group=Cmmm n_ef_per_ev_cell=19.472 crystal_system=orthorhombic pbc="T T T"
V 0.000 0.000 0.000
V 3.553 3.018 0.000
V 7.210 5.757 0.000
V 3.441 0.000 0.000
V 7.210 2.327 0.000
V 3.553 -3.018 0.000
V 10.867 3.018 0.000
V 7.210 -2.327 0.000
V 10.979 0.000 0.000
V 7.210 -5.757 0.000
V 10.867 -3.018 0.000
Ir 1.870 1.457 1.394
Ir 5.667 4.079 1.394
Ir 1.870 -1.457 1.394
Ir 8.753 4.079 1.394
Ir 7.210 0.000 1.394
Ir 5.667 -4.079 1.394
Ir 12.550 1.457 1.394
Ir 8.753 -4.079 1.394
Ir 12.550 -1.457 1.394
Rh 5.020 1.387 1.394
Rh 5.020 -1.387 1.394
Rh 9.400 1.387 1.394
Rh 9.400 -1.387 1.394

=====

# 9
13
Lattice="5.969 -3.197 0.000 5.969 3.197 0.000 -1.868 0.000 4.849" Properties=species:S:1:pos:R:3 comment="La2W3N8 (PBE, relaxed)" raw_formation_energy_ev_per_atom=-0.70 space_group=C2/m crystal_system=monoclinic pbc="T T T"
La 2.446 0.000 0.784
La 7.624 0.000 4.065
W 5.035 1.744 2.424
W 5.969 0.000 0.000
W 5.035 -1.744 2.424
N 0.353 0.000 2.191
N 4.551 1.380 0.516
N 5.519 1.380 4.332
N 3.670 0.000 2.883
N 6.400 0.000 1.966
N 4.551 -1.380 0.516
N 5.519 -1.380 4.332
N 9.717 0.000 2.658

=====

# 10
32
Lattice="7.503 0.000 0.000 0.000 18.054 0.000 0.000 0.000 5.646" Properties=species:S:1:pos:R:3 comment="Pm3Hg3Rh2 (PBE, relaxed)" delta_e_f_ev_per_atom=-0.539 space_group=Pnma n_ef_per_ev_cell=15.911 crystal_system=orthorhombic pbc="T T T"
Pm 0.316 1.942 0.659
Pm 0.316 7.085 0.659
Pm 1.188 4.513 3.794
Pm 2.563 13.540 0.971
Pm 3.436 10.969 3.482
Pm 3.436 16.112 3.482
Pm 4.067 1.942 2.164
Pm 4.067 7.085 2.164
Pm 4.939 4.513 4.674
Pm 6.315 13.540 1.851
Pm 7.187 10.969 4.987
Pm 7.187 16.112 4.987
Hg 1.271 13.540 3.845
Hg 1.365 0.528 3.399
Hg 1.365 8.499 3.399
Hg 2.386 9.555 0.576
Hg 2.386 17.526 0.576
Hg 2.480 4.513 1.023
Hg 5.022 13.540 4.623
Hg 5.116 0.528 5.070
Hg 5.116 8.499 5.070
Hg 6.137 9.555 2.247
Hg 6.137 17.526 2.247
Hg 6.232 4.513 1.800
Rh 0.862 11.326 2.133
Rh 0.862 15.754 2.133
Rh 2.889 2.299 4.956
Rh 2.889 6.728 4.956
Rh 4.614 11.326 0.689
Rh 4.614 15.754 0.689
Rh 6.640 2.299 3.512
Rh 6.640 6.728 3.512

=====

# 11
10
Lattice="6.204 0.000 0.000 0.000 6.204 0.000 0.000 0.000 4.430" Properties=species:S:1:pos:R:3 comment="Zr2BeIr2 (PBE, relaxed)" delta_e_f_ev_per_atom=-0.524 space_group=P4/mbm n_ef_per_ev_cell=7.799 crystal_system=tetragonal e_above_lowest_polymorph_mev_per_atom=40 pbc="T T T"
Zr 1.092 2.010 0.000
Zr 2.010 5.112 0.000
Zr 4.194 1.092 0.000
Zr 5.112 4.194 0.000
Be 0.000 0.000 2.215
Be 3.102 3.102 2.215
Ir 0.911 4.013 2.215
Ir 2.191 0.911 2.215
Ir 4.013 5.293 2.215
Ir 5.293 2.191 2.215

=====

# 12
5
Lattice="4.385 0.000 0.000 0.000 4.385 0.000 0.000 0.000 5.418" Properties=species:S:1:pos:R:3 comment="AsP2RhS (PBE, relaxed)" raw_formation_energy_ev_per_atom=0.68 space_group=P4/mmm n_ef_per_ev_cell=5.127 crystal_system=tetragonal e_above_lowest_polymorph_mev_per_atom=1 pbc="T T T"
As 0.000 0.000 0.000
P 0.000 2.192 2.709
P 2.192 0.000 2.709
Rh 0.000 0.000 2.709
S 2.192 2.192 0.000

=====

# 13
16
Lattice="7.456 0.000 0.000 0.000 7.456 0.000 0.000 0.000 7.456" Properties=species:S:1:pos:R:3 comment="Pu2SeI (PBE, relaxed)" raw_formation_energy_ev_per_atom=-0.88 space_group=Fm-3m n_ef_per_ev_cell=45.427 crystal_system=cubic e_above_lowest_polymorph_mev_per_atom=147 pbc="T T T"
Pu 1.864 1.864 1.864
Pu 1.864 1.864 5.592
Pu 1.864 5.592 1.864
Pu 1.864 5.592 5.592
Pu 5.592 1.864 1.864
Pu 5.592 1.864 5.592
Pu 5.592 5.592 1.864
Pu 5.592 5.592 5.592
Se 0.000 0.000 0.000
Se 0.000 3.728 3.728
Se 3.728 0.000 3.728
Se 3.728 3.728 0.000
I 0.000 0.000 3.728
I 0.000 3.728 0.000
I 3.728 0.000 0.000
I 3.728 3.728 3.728

=====

# 14
12
Lattice="6.570 -3.879 0.000 6.570 3.879 0.000 0.000 0.000 8.227" Properties=species:S:1:pos:R:3 comment="Hg2SbTe2Se (PBE, relaxed)" raw_formation_energy_ev_per_atom=-0.04 space_group=Cmc2_1 n_ef_per_ev_cell=5.119 crystal_system=orthorhombic pbc="T T T"
Hg 4.460 1.949 4.114
Hg 8.680 1.949 4.114
Hg 4.460 -1.949 0.000
Hg 8.680 -1.949 0.000
Sb 6.570 1.971 0.206
Sb 6.570 -1.971 4.319
Te 4.476 0.802 6.824
Te 4.476 -0.802 2.710
Te 8.664 0.802 6.824
Te 8.664 -0.802 2.710
Se 6.570 3.467 3.085
Se 6.570 -3.467 7.199

=====

# 15
5
Lattice="3.553 0.000 0.000 0.000 3.553 0.000 0.000 0.000 3.616" Properties=species:S:1:pos:R:3 comment="MnBeNi2H (PBE, relaxed)" space_group=P4/mmm n_ef_per_ev_cell=2.247 crystal_system=tetragonal e_above_lowest_polymorph_mev_per_atom=0 pbc="T T T"
Mn 0.000 0.000 0.000
Be 1.776 1.776 0.000
Ni 0.000 1.776 1.808
Ni 1.776 0.000 1.808
H 0.000 0.000 1.808

=====

# 16
16
Lattice="7.941 0.000 0.000 0.000 7.941 0.000 0.000 0.000 7.941" Properties=species:S:1:pos:R:3 comment="AcGdTlCd (PBE, relaxed)" delta_e_f_ev_per_atom=-0.329 space_group=F-43m n_ef_per_ev_cell=20.332 crystal_system=cubic pbc="T T T"
Ac 0.000 0.000 0.000
Ac 0.000 3.970 3.970
Ac 3.970 0.000 3.970
Ac 3.970 3.970 0.000
Gd 0.000 0.000 3.970
Gd 0.000 3.970 0.000
Gd 3.970 0.000 0.000
Gd 3.970 3.970 3.970
Tl 1.985 1.985 1.985
Tl 1.985 5.955 5.955
Tl 5.955 1.985 5.955
Tl 5.955 5.955 1.985
Cd 1.985 1.985 5.955
Cd 1.985 5.955 1.985
Cd 5.955 1.985 1.985
Cd 5.955 5.955 5.955

=====

# 17
5
Lattice="5.577 0.000 0.000 0.000 5.577 0.000 0.000 0.000 5.577" Properties=species:S:1:pos:R:3 comment="Rb3PtN (PBE, relaxed)" raw_formation_energy_ev_per_atom=0.73 space_group=Pm-3m n_ef_per_ev_cell=10.217 crystal_system=cubic e_above_lowest_polymorph_mev_per_atom=0 pbc="T T T"
Rb 0.000 0.000 2.788
Rb 0.000 2.788 0.000
Rb 2.788 0.000 0.000
Pt 2.788 2.788 2.788
N 0.000 0.000 0.000

=====

# 18
19
Lattice="6.242 -3.058 0.000 6.242 3.058 0.000 -2.398 0.000 7.397" Properties=species:S:1:pos:R:3 comment="Dy5U2O12 (PBE, relaxed)" raw_formation_energy_ev_per_atom=-3.35 space_group=C2/m n_ef_per_ev_cell=1.801 crystal_system=monoclinic pbc="T T T"
Dy 0.000 0.000 0.000
Dy 3.374 0.000 1.001
Dy 2.209 0.000 5.163
Dy 7.876 0.000 2.233
Dy 6.711 0.000 6.395
U 5.043 1.687 3.698
U 5.043 -1.687 3.698
O -0.498 0.000 2.137
O 3.108 1.440 2.910
O 2.087 1.500 6.922
O 7.998 1.500 0.475
O 6.977 1.440 4.487
O 4.534 0.000 5.057
O 5.551 0.000 2.340
O 3.108 -1.440 2.910
O 2.087 -1.500 6.922
O 7.998 -1.500 0.475
O 6.977 -1.440 4.487
O 10.583 0.000 5.260

=====

# 19
7
Lattice="1.698 0.980 13.153 -1.698 0.980 13.153 0.000 -1.960 13.153" Properties=species:S:1:pos:R:3 comment="Sc4BiC2 (PBE, relaxed)" delta_e_f_ev_per_atom=-0.540 space_group=R-3m n_ef_per_ev_cell=4.555 crystal_system=trigonal pbc="T T T"
Sc 0.000 0.000 4.989
Sc 0.000 0.000 10.567
Sc 0.000 0.000 28.893
Sc 0.000 0.000 34.471
Bi 0.000 0.000 0.000
C 0.000 0.000 16.902
C 0.000 0.000 22.558

=====

# 20
8
Lattice="3.859 0.000 0.000 0.000 4.779 0.000 0.000 0.000 7.537" Properties=species:S:1:pos:R:3 comment="CaSi2W (PBE, relaxed)" raw_formation_energy_ev_per_atom=0.25 space_group=Immm n_ef_per_ev_cell=4.802 crystal_system=orthorhombic e_above_lowest_polymorph_mev_per_atom=398 pbc="T T T"
Ca 0.000 0.000 0.000
Ca 1.929 2.390 3.768
Si 0.000 2.390 1.784
Si 0.000 2.390 5.753
Si 1.929 0.000 1.985
Si 1.929 0.000 5.552
W 0.000 0.000 3.768
W 1.929 2.390 0.000